Entry 1:
## Tl4PbN2 (PBE-GGA)

Data for a geometry-optimized Tl4PbN2 structure.

The space group is C2/m (No. 12) and the conventional cell measures 19.8570, 3.5448 and 4.9932 Å, with angles of 90.00, 104.42 and 90.00 degrees. The asymmetric unit holds Tl at (0.1070, 0.0000, 0.1065), Tl at (0.2064, 0.5000, 0.7067), Pb at (0.0000, 0.0000, 0.5000) and N at (0.1962, 0.5000, 0.1974).

The calculation puts the total energy at -3.594 eV/atom. The magnetic moment comes out at 0.0000 μB per atom. For the density of states at the Fermi level, the calculation gives 2.403 states/eV per cell.


Entry 2:
## TlPb3N (PBE-GGA)

Data for a geometry-optimized TlPb3N structure.

The space group is Pm-3m (No. 221) and the conventional cell measures 5.8342, 5.8342 and 5.8342 Å, with angles of 90.00, 90.00 and 90.00 degrees. The asymmetric unit holds Tl at (0.0000, 0.0000, 0.0000), Pb at (0.0000, 0.0000, 0.5000) and N at (0.5000, 0.5000, 0.5000).

The calculation puts the total energy at -2.632 eV/atom. The magnetic moment comes out at 0.0000 μB per atom. For the density of states at the Fermi level, the calculation gives 6.241 states/eV per cell.


Entry 3:
## ZrTlPbN2 (PBE-GGA)

Data for a geometry-optimized ZrTlPbN2 structure.

The space group is P4/mmm (No. 123) and the conventional cell measures 4.3085, 4.3085 and 6.1042 Å, with angles of 90.00, 90.00 and 90.00 degrees. The asymmetric unit holds Zr at (0.0000, 0.0000, 0.0000), Tl at (0.5000, 0.5000, 0.5000), Pb at (0.0000, 0.0000, 0.5000) and N at (0.0000, 0.5000, 0.0000).

The calculation puts the total energy at -5.736 eV/atom. The magnetic moment comes out at 0.1381 μB per atom. For the density of states at the Fermi level, the calculation gives 2.651 states/eV per cell.


Entry 4:
## Tm6Pb3N2 (PBE-GGA)

Data for a geometry-optimized Tm6Pb3N2 structure.

The space group is I4/mmm (No. 139) and the conventional cell measures 4.6462, 4.6462 and 24.8859 Å, with angles of 90.00, 90.00 and 90.00 degrees. The asymmetric unit holds Tm at (0.0000, 0.0000, 0.1902), Tm at (0.0000, 0.5000, 0.0851), Pb at (0.0000, 0.0000, 0.3196), Pb at (0.0000, 0.0000, 0.5000) and N at (0.0000, 0.0000, 0.1009).

The calculation puts the total energy at -5.898 eV/atom. The magnetic moment comes out at 0.0000 μB per atom. For the density of states at the Fermi level, the calculation gives 1.884 states/eV per cell.


Entry 5:
## Tm2PbN (PBE-GGA)

Data for a geometry-optimized Tm2PbN structure.

The space group is P4/mmm (No. 123) and the conventional cell measures 3.1493, 3.1493 and 7.7586 Å, with angles of 90.00, 90.00 and 90.00 degrees. The asymmetric unit holds Tm at (0.0000, 0.0000, 0.1822), Pb at (0.5000, 0.5000, 0.5000) and N at (0.5000, 0.5000, 0.0000).

The calculation puts the total energy at -5.680 eV/atom. The magnetic moment comes out at 0.0003 μB per atom. For the density of states at the Fermi level, the calculation gives 2.174 states/eV per cell.


Entry 6:
## Tm3PbN2 (PBE-GGA)

Data for a geometry-optimized Tm3PbN2 structure.

The space group is I4/mmm (No. 139) and the conventional cell measures 4.5378, 4.5378 and 11.3604 Å, with angles of 90.00, 90.00 and 90.00 degrees. The asymmetric unit holds Tm at (0.0000, 0.0000, 0.0000), Tm at (0.0000, 0.5000, 0.2500), Pb at (0.0000, 0.0000, 0.5000) and N at (0.0000, 0.0000, 0.2011).

The calculation puts the total energy at -6.889 eV/atom. The magnetic moment comes out at 0.0000 μB per atom. For the density of states at the Fermi level, the calculation gives 7.689 states/eV per cell.